## 1
The following is a PBE calculation of a relaxed structure of NaCaS2Cl, from Alexandria via LeMat-Bulk.

```
5
Lattice="4.858 0.000 0.000 0.000 4.858 0.000 0.000 0.000 5.201" Properties=species:S:1:pos:R:3 pbc="T T T"
Na 0.000 0.000 0.000
Ca 2.429 2.429 2.601
S 0.000 2.429 0.000
S 2.429 0.000 0.000
Cl 0.000 0.000 2.601
```

Values from the calculation:
As for the density of states at the Fermi level: 3.039 states/eV/cell. The magnetization is 0.00 μB/cell. The space group is P4/mmm, No. 123. For the density, the calculation gives 2.2 g cm⁻³.


## 2
The following is a PBE calculation of a relaxed structure of NaCaS2Cl, from Alexandria via LeMat-Bulk.

```
5
Lattice="5.414 0.000 0.000 0.000 5.414 0.000 0.000 0.000 5.383" Properties=species:S:1:pos:R:3 pbc="T T T"
Na 0.000 0.000 0.000
Ca 2.707 2.707 2.691
S 0.000 2.707 2.691
S 2.707 0.000 2.691
Cl 2.707 2.707 0.000
```

Values from the calculation:
As for the density of states at the Fermi level: 4.781 states/eV/cell. The magnetization is 2.01 μB/cell. The space group is P4/mmm, No. 123. For the density, the calculation gives 1.7 g cm⁻³.


Pick 2: it beats the second-best structure by 23.0 kJ/mol of atoms.


## 1
The following is a PBE calculation of a relaxed structure of Ca3NbCl, from Alexandria via LeMat-Bulk.

```
5
Lattice="5.382 0.000 0.000 0.000 5.382 0.000 0.000 0.000 5.382" Properties=species:S:1:pos:R:3 pbc="T T T"
Ca 0.000 0.000 2.691
Ca 0.000 2.691 0.000
Ca 2.691 0.000 0.000
Nb 2.691 2.691 2.691
Cl 0.000 0.000 0.000
```

Values from the calculation:
As for the density of states at the Fermi level: 2.228 states/eV/cell. The magnetization is 3.79 μB/cell. The space group is Pm-3m, No. 221. For the density, the calculation gives 2.6 g cm⁻³.


## 2
The following is a PBE calculation of a relaxed structure of Ca3NbCl, from Alexandria via LeMat-Bulk.

```
5
Lattice="5.676 0.000 0.000 0.000 5.676 0.000 0.000 0.000 5.676" Properties=species:S:1:pos:R:3 pbc="T T T"
Ca 0.000 0.000 2.838
Ca 0.000 2.838 0.000
Ca 2.838 0.000 0.000
Nb 0.000 0.000 0.000
Cl 2.838 2.838 2.838
```

Values from the calculation:
As for the density of states at the Fermi level: 10.630 states/eV/cell. The magnetization is 1.97 μB/cell. The space group is Pm-3m, No. 221. For the density, the calculation gives 2.3 g cm⁻³.


Pick 1: it beats the second-best structure by 52.2 kJ/mol of atoms.


## 1
The following is a PBE calculation of a relaxed structure of CaNbP2Cl, from Alexandria via LeMat-Bulk.

```
5
Lattice="4.870 0.000 0.000 0.000 4.870 0.000 0.000 0.000 4.918" Properties=species:S:1:pos:R:3 pbc="T T T"
Ca 0.000 0.000 0.000
Nb 2.435 2.435 2.459
P 0.000 2.435 2.459
P 2.435 0.000 2.459
Cl 2.435 2.435 0.000
```

Values from the calculation:
As for the density of states at the Fermi level: 1.488 states/eV/cell. The magnetization is 0.00 μB/cell. The space group is P4/mmm, No. 123. For the density, the calculation gives 3.3 g cm⁻³.


## 2
The following is a PBE calculation of a relaxed structure of CaNbP2Cl, from Alexandria via LeMat-Bulk.

```
5
Lattice="5.129 0.000 0.000 0.000 5.129 0.000 0.000 0.000 4.783" Properties=species:S:1:pos:R:3 pbc="T T T"
Ca 0.000 0.000 0.000
Nb 2.564 2.564 2.391
P 0.000 2.564 0.000
P 2.564 0.000 0.000
Cl 0.000 0.000 2.391
```

Values from the calculation:
As for the density of states at the Fermi level: 9.282 states/eV/cell. The magnetization is 0.00 μB/cell. The space group is P4/mmm, No. 123. For the density, the calculation gives 3.0 g cm⁻³.


Pick 1: it beats the second-best structure by 149.7 kJ/mol of atoms.


## 1
The following is a PBE calculation of a relaxed structure of CaNiCl3, from Alexandria via LeMat-Bulk.

```
5
Lattice="5.297 0.000 0.000 0.000 5.297 0.000 0.000 0.000 5.297" Properties=species:S:1:pos:R:3 pbc="T T T"
Ca 0.000 0.000 0.000
Ni 2.648 2.648 2.648
Cl 0.000 0.000 2.648
Cl 0.000 2.648 0.000
Cl 2.648 0.000 0.000
```

Values from the calculation:
As for the density of states at the Fermi level: 30.554 states/eV/cell. The magnetization is 1.00 μB/cell. The space group is Pm-3m, No. 221. For the density, the calculation gives 2.3 g cm⁻³.


## 2
The following is a PBE calculation of a relaxed structure of CaNiCl3, from Alexandria via LeMat-Bulk.

```
5
Lattice="4.701 0.000 0.000 0.000 4.701 0.000 0.000 0.000 4.701" Properties=species:S:1:pos:R:3 pbc="T T T"
Ca 0.000 0.000 0.000
Ni 2.351 2.351 2.351
Cl 0.000 2.351 2.351
Cl 2.351 0.000 2.351
Cl 2.351 2.351 0.000
```

Values from the calculation:
As for the density of states at the Fermi level: 1.593 states/eV/cell. The magnetization is 0.00 μB/cell. The space group is Pm-3m, No. 221. For the density, the calculation gives 3.3 g cm⁻³.


Pick 2: it beats the second-best structure by 33.8 kJ/mol of atoms.


## 1
The following is a PBE calculation of a relaxed structure of CaNiPCl2, from Alexandria via LeMat-Bulk.

```
5
Lattice="5.123 0.000 0.000 0.000 5.123 0.000 0.000 0.000 5.902" Properties=species:S:1:pos:R:3 pbc="T T T"
Ca 0.000 0.000 0.000
Ni 2.562 2.562 2.951
P 0.000 0.000 2.951
Cl 0.000 2.562 0.000
Cl 2.562 0.000 0.000
```

Values from the calculation:
As for the density of states at the Fermi level: 6.132 states/eV/cell. The magnetization is 3.01 μB/cell. The space group is P4/mmm, No. 123. For the density, the calculation gives 2.2 g cm⁻³.


## 2
The following is a PBE calculation of a relaxed structure of CaNiPCl2, from Alexandria via LeMat-Bulk.

```
5
Lattice="4.704 0.000 0.000 0.000 4.704 0.000 0.000 0.000 4.593" Properties=species:S:1:pos:R:3 pbc="T T T"
Ca 0.000 0.000 0.000
Ni 2.352 2.352 2.296
P 2.352 2.352 0.000
Cl 0.000 2.352 2.296
Cl 2.352 0.000 2.296
```

Values from the calculation:
As for the density of states at the Fermi level: 3.593 states/eV/cell. The magnetization is 0.79 μB/cell. The space group is P4/mmm, No. 123. For the density, the calculation gives 3.3 g cm⁻³.


Pick 2: it beats the second-best structure by 70.2 kJ/mol of atoms.


## 1
The following is a PBE calculation of a relaxed structure of Rb2CaNiCl6, from Alexandria via LeMat-Bulk.

```
10
Lattice="0.000 5.141 5.141 5.141 0.000 5.141 5.141 5.141 0.000" Properties=species:S:1:pos:R:3 pbc="T T T"
Rb 2.571 2.571 2.571
Rb 7.712 7.712 7.712
Ca 0.000 0.000 0.000
Ni 5.141 5.141 5.141
Cl 5.141 5.141 2.717
Cl 5.141 2.717 5.141
Cl 7.566 5.141 5.141
Cl 2.717 5.141 5.141
Cl 5.141 7.566 5.141
Cl 5.141 5.141 7.566
```

Values from the calculation:
As for the density of states at the Fermi level: 0.000 states/eV/cell. The magnetization is 2.00 μB/cell. The space group is Fm-3m, No. 225. For the density, the calculation gives 2.9 g cm⁻³.


## 2
The following is a PBE calculation of a relaxed structure of Rb2CaNiCl6, from Alexandria via LeMat-Bulk.

```
20
Lattice="3.636 2.099 12.343 -3.636 2.099 12.343 0.000 -4.199 12.343" Properties=species:S:1:pos:R:3 pbc="T T T"
Rb 0.000 0.000 4.780
Rb 0.000 0.000 10.943
Rb 0.000 0.000 26.087
Rb 0.000 0.000 32.250
Ca 0.000 0.000 15.278
Ca 0.000 0.000 21.752
Ni 0.000 0.000 0.000
Ni 0.000 0.000 18.515
Cl -1.721 -0.994 17.115
Cl 0.000 -2.228 13.756
Cl -1.929 1.114 13.756
Cl -1.929 -1.114 23.273
Cl 0.000 -1.988 19.915
Cl -1.721 0.994 19.915
Cl 1.721 -0.994 17.115
Cl 0.000 1.988 17.115
Cl 1.929 1.114 13.756
Cl 1.929 -1.114 23.273
Cl 0.000 2.228 23.273
Cl 1.721 0.994 19.915
```

Values from the calculation:
The magnetization is 3.75 μB/cell. The space group is R-3m, No. 166. For the density, the calculation gives 2.8 g cm⁻³.


Pick 2: it beats the second-best structure by 0.9 kJ/mol of atoms.